EuBrO, relaxed, DFT PBE; mass density = 5.7 g/cm3; SG = I4mm (107); magnetic moment = 6.24 μB/cell; energy relative to the elements, uncorrected = -1.9297 eV/atom
1.0
3.384 0.000 0.000
0.000 3.384 0.000
-1.692 -1.692 6.269
O Eu Br
1 1 1
Cartesian
0.000 0.000 3.173
1.692 1.692 3.211
1.692 1.692 6.153